(1)
This record from the Alexandria database describes TiZnPd3 after structural relaxation. The functional is PBE.

Cell: 5.5055 3.8931 7.3283 Å, 105.40 83.39 90.00°
Last column: nearest neighbours and their distance in Å.
Element x y z (fractional)
Pd 0.2454 0.9966 0.9932  7 Pd 2.69-2.90, 4 Ti 2.74-2.80, 1 Zn 2.79
Pd 0.8496 0.7971 0.5942  3 Ti 2.67-2.75, 4 Zn 2.69-2.78, 5 Pd 2.79-2.90
Pd 0.5341 0.3933 0.7867  3 Zn 2.62-2.71, 2 Ti 2.75-2.76, 6 Pd 2.81-2.85
Pd 0.1504 0.2029 0.4058  3 Ti 2.67-2.75, 4 Zn 2.69-2.78, 5 Pd 2.79-2.90
Pd 0.7546 0.0034 0.0068  7 Pd 2.69-2.90, 4 Ti 2.74-2.80, 1 Zn 2.79
Pd 0.4659 0.6067 0.2133  3 Zn 2.62-2.71, 2 Ti 2.75-2.76, 6 Pd 2.81-2.85
Ti 0.0325 0.3973 0.7946  9 Pd 2.67-2.80, 2 Zn 2.88, 1 Ti 2.88
Ti 0.9675 0.6027 0.2054  9 Pd 2.67-2.80, 2 Zn 2.88, 1 Ti 2.88
Zn 0.6453 0.2012 0.4025  8 Pd 2.62-2.79, 2 Zn 2.78, 2 Ti 2.88
Zn 0.3547 0.7988 0.5975  8 Pd 2.62-2.79, 2 Zn 2.78, 2 Ti 2.88

Properties
D(E_F) = 6.1 states/eV per cell
energy of formation from the pure elements = -536 meV per atom
E above lowest polymorph = 0.026 eV per atom
SG = C2/m (12)

=====

(2)
This record from the Alexandria database describes Ti2Zn2Pd3 after structural relaxation. The functional is PBE.

Cell: 2.8783 2.8466 13.2119 Å, 90.00 83.75 90.00°
Last column: nearest neighbours and their distance in Å.
Element x y z (fractional)
Zn 0.5663 0.5000 0.8673  8 Pd 2.67-2.69, 4 Zn 2.85-2.88
Zn 0.4337 0.5000 0.1327  8 Pd 2.67-2.69, 4 Zn 2.85-2.88
Pd 0.8663 0.0000 0.2674  4 Zn 2.69, 4 Ti 2.77, 4 Pd 2.85-2.88
Pd 0.1337 0.0000 0.7326  4 Zn 2.69, 4 Ti 2.77, 4 Pd 2.85-2.88
Pd 0.0000 0.0000 0.0000  8 Zn 2.67, 4 Pd 2.85-2.88
Ti 0.7057 0.5000 0.5886  6 Ti 2.74-2.88, 4 Pd 2.77
Ti 0.2943 0.5000 0.4114  6 Ti 2.74-2.88, 4 Pd 2.77

Properties
D(E_F) = 5.0 states/eV per cell
energy of formation from the pure elements = -403 meV per atom
E above lowest polymorph = 0.000 eV per atom
SG = Cmmm (65)

=====

(3)
This record from the Alexandria database describes Ti3ZnPd3 after structural relaxation. The functional is PBE.

Cell: 6.0901 6.0901 6.8394 Å, 93.42 93.42 107.54°
Last column: nearest neighbours and their distance in Å.
Element x y z (fractional)
Ti 0.8688 0.1312 0.5000  4 Pd 2.46-2.74, 1 Ti 2.58
Ti 0.1312 0.8688 0.5000  4 Pd 2.46-2.74, 1 Ti 2.58
Ti 0.2478 0.7522 0.0000  6 Pd 2.56-2.80
Ti 0.7522 0.2478 0.0000  6 Pd 2.56-2.80
Ti 0.3792 0.3792 0.6321  3 Pd 2.51-2.75, 1 Ti 2.63
Ti 0.6208 0.6208 0.3679  3 Pd 2.51-2.75, 1 Ti 2.63
Zn 0.2374 0.2374 0.2337  4 Pd 2.47-2.67
Zn 0.7626 0.7626 0.7663  4 Pd 2.47-2.67
Pd 0.4930 0.9891 0.7144  5 Ti 2.46-2.75, 1 Zn 2.47
Pd 0.9891 0.4930 0.7144  5 Ti 2.46-2.75, 1 Zn 2.47
Pd 0.1306 0.1306 0.8638  3 Ti 2.51-2.80, 2 Zn 2.57-2.67, 1 Pd 2.78
Pd 0.8694 0.8694 0.1362  3 Ti 2.51-2.80, 2 Zn 2.57-2.67, 1 Pd 2.78
Pd 0.5070 0.0109 0.2856  5 Ti 2.46-2.75, 1 Zn 2.47
Pd 0.0109 0.5070 0.2856  5 Ti 2.46-2.75, 1 Zn 2.47

Properties
D(E_F) = 13.4 states/eV per cell
energy of formation from the pure elements = -207 meV per atom
E above lowest polymorph = 0.156 eV per atom
SG = C2/m (12)

=====

(4)
This record from the Alexandria database describes Ti2ZnPd6 after structural relaxation. The functional is PBE.

Cell: 2.8234 7.3472 7.9117 Å, 117.67 100.35 90.00°
Last column: nearest neighbours and their distance in Å.
Element x y z (fractional)
Ti 0.3307 0.3382 0.6764  8 Pd 2.63-2.72, 2 Ti 2.82
Ti 0.6693 0.6618 0.3236  8 Pd 2.63-2.72, 2 Ti 2.82
Pd 0.5000 0.6907 0.0000  2 Ti 2.63, 2 Zn 2.68, 7 Pd 2.80-2.85
Pd 0.8295 0.0212 0.6641  3 Ti 2.68-2.72, 1 Zn 2.69, 7 Pd 2.78-2.85
Pd 0.1705 0.9788 0.3359  3 Ti 2.68-2.72, 1 Zn 2.69, 7 Pd 2.78-2.85
Pd 0.1705 0.3570 0.3359  3 Ti 2.68-2.72, 1 Zn 2.69, 7 Pd 2.78-2.85
Pd 0.8295 0.6430 0.6641  3 Ti 2.68-2.72, 1 Zn 2.69, 7 Pd 2.78-2.85
Pd 0.5000 0.3093 0.0000  2 Ti 2.63, 2 Zn 2.68, 7 Pd 2.80-2.85
Zn 0.0000 0.0000 0.0000  8 Pd 2.68-2.69, 2 Zn 2.82

Properties
D(E_F) = 5.2 states/eV per cell
energy of formation from the pure elements = -413 meV per atom
SG = C2/m (12)

=====

(5)
This record from the Alexandria database describes Ti2Zn4Pd3 after structural relaxation. The functional is PBE.

Cell: 4.3801 5.1546 7.0591 Å, 81.26 71.93 64.86°
Last column: nearest neighbours and their distance in Å.
Element x y z (fractional)
Pd 0.0000 0.0000 0.0000  4 Zn 2.66-2.69, 4 Ti 2.73
Pd 0.6708 0.2240 0.4343  4 Zn 2.63-2.72, 3 Ti 2.65-2.67, 1 Pd 2.74
Pd 0.3292 0.7760 0.5657  4 Zn 2.63-2.72, 3 Ti 2.65-2.67, 1 Pd 2.74
Zn 0.9941 0.6753 0.3366  4 Pd 2.66-2.72, 3 Zn 2.71-2.76, 1 Ti 2.80
Zn 0.6741 0.5453 0.1064  2 Pd 2.63-2.66, 4 Zn 2.65-2.76, 2 Ti 2.73-2.78
Zn 0.0059 0.3247 0.6634  4 Pd 2.66-2.72, 3 Zn 2.71-2.76, 1 Ti 2.80
Zn 0.3259 0.4547 0.8936  2 Pd 2.63-2.66, 4 Zn 2.65-2.76, 2 Ti 2.73-2.78
Ti 0.3358 0.0972 0.2313  5 Pd 2.65-2.73, 3 Zn 2.73-2.80
Ti 0.6642 0.9028 0.7687  5 Pd 2.65-2.73, 3 Zn 2.73-2.80

Properties
D(E_F) = 8.4 states/eV per cell
energy of formation from the pure elements = -345 meV per atom
SG = C2/m (12)

=====

(6)
This record from the Alexandria database describes Ti5ZnPd4 after structural relaxation. The functional is PBE.

Cell: 3.3313 3.3313 14.2731 Å, 90.00 90.00 90.00°
Last column: nearest neighbours and their distance in Å.
Element x y z (fractional)
Ti 0.5000 0.5000 0.6986  8 Pd 2.74-2.77, 2 Ti 2.84-2.88
Ti 0.5000 0.5000 0.0997  4 Pd 2.75, 4 Zn 2.75, 2 Ti 2.85-2.88
Ti 0.5000 0.5000 0.5000  8 Pd 2.75, 2 Ti 2.84
Ti 0.5000 0.5000 0.9003  4 Pd 2.75, 4 Zn 2.75, 2 Ti 2.85-2.88
Ti 0.5000 0.5000 0.3014  8 Pd 2.74-2.77, 2 Ti 2.84-2.88
Zn 0.0000 0.0000 0.0000  8 Ti 2.75, 2 Pd 2.84
Pd 0.0000 0.0000 0.1992  8 Ti 2.75-2.77, 1 Zn 2.84, 1 Pd 2.87
Pd 0.0000 0.0000 0.8008  8 Ti 2.75-2.77, 1 Zn 2.84, 1 Pd 2.87
Pd 0.0000 0.0000 0.4000  8 Ti 2.74-2.75, 2 Pd 2.86-2.87
Pd 0.0000 0.0000 0.6000  8 Ti 2.74-2.75, 2 Pd 2.86-2.87

Properties
D(E_F) = 11.3 states/eV per cell
energy of formation from the pure elements = -425 meV per atom
SG = P4/mmm (123)

=====

(7)
This record from the Alexandria database describes Ti2ZnPd after structural relaxation. The functional is PBE.

Cell: 3.9905 3.9441 3.9441 Å, 90.00 90.00 90.00°
Last column: nearest neighbours and their distance in Å.
Element x y z (fractional)
Zn 0.5000 0.0000 0.0000  4 Pd 2.79, 8 Ti 2.81
Ti 0.0000 0.5000 0.0000  4 Ti 2.79, 4 Pd 2.81, 4 Zn 2.81
Ti 0.0000 0.0000 0.5000  4 Ti 2.79, 4 Pd 2.81, 4 Zn 2.81
Pd 0.5000 0.5000 0.5000  4 Zn 2.79, 8 Ti 2.81

Properties
D(E_F) = 5.0 states/eV per cell
energy of formation from the pure elements = -353 meV per atom
SG = P4/mmm (123)

=====

(8)
This record from the Alexandria database describes TiZnPd3 after structural relaxation. The functional is PBE.

Cell: 4.6340 4.6226 7.5915 Å, 85.81 72.21 76.34°
Last column: nearest neighbours and their distance in Å.
Element x y z (fractional)
Zn 0.8516 0.8447 0.0147  9 Pd 2.65-2.93, 2 Ti 2.86
Zn 0.5595 0.3442 0.5998  9 Pd 2.65-2.93, 2 Ti 2.86
Ti 0.3510 0.3449 0.0157  9 Pd 2.65-2.92, 2 Zn 2.86
Ti 0.0601 0.8439 0.5988  9 Pd 2.65-2.92, 2 Zn 2.86
Pd 0.4562 0.8443 0.8061  4 Zn 2.75-2.77, 4 Ti 2.76-2.77, 4 Pd 2.79-2.86
Pd 0.1493 0.3443 0.4194  3 Ti 2.65-2.92, 2 Zn 2.66, 7 Pd 2.81-2.86
Pd 0.6490 0.8444 0.4203  3 Zn 2.65-2.93, 2 Ti 2.65, 7 Pd 2.79-2.86
Pd 0.2618 0.8445 0.1951  3 Ti 2.65-2.92, 2 Zn 2.66, 7 Pd 2.81-2.86
Pd 0.7621 0.3444 0.1943  3 Zn 2.65-2.93, 2 Ti 2.65, 7 Pd 2.79-2.86
Pd 0.9549 0.3445 0.8085  4 Zn 2.75-2.77, 4 Ti 2.76-2.77, 4 Pd 2.79-2.86

Properties
D(E_F) = 6.2 states/eV per cell
energy of formation from the pure elements = -562 meV per atom
E above lowest polymorph = 0.000 eV per atom
SG = P-1 (2)